The following is a GGA-PBE calculation of a geometry-optimized La2IrAu structure, from Alexandria via LeMat-Bulk.

Summary:
electronic total energy = -50.445 eV per cell
total moment = 0.00 μB per formula unit
mass density = 10591 kg/m3

The structure in CIF format:
```
data_La2IrAu
_symmetry_space_group_name_H-M 'P 1 21/m 1'
_symmetry_Int_Tables_number 11
_cell_length_a 6.1668
_cell_length_b 4.4664
_cell_length_c 8.1555
_cell_angle_alpha 90.00
_cell_angle_beta 111.39
_cell_angle_gamma 90.00
loop_
_symmetry_equiv_pos_as_xyz
'x,y,z'
'-x,-y,-z'
'-x,y+1/2,-z'
'x,-y+1/2,z'
loop_
_atom_site_label
_atom_site_type_symbol
_atom_site_fract_x
_atom_site_fract_y
_atom_site_fract_z
La1 La 0.2183 0.2500 0.4458
La2 La 0.2379 0.2500 0.9195
Ir1 Ir 0.3092 0.7500 0.7091
Au1 Au 0.3183 0.7500 0.2079
```

The following is a GGA-PBE calculation of a geometry-optimized LiCa2PuO4 structure, from Alexandria via LeMat-Bulk.

Summary:
total moment = 5.00 μB per formula unit
mass density = 5955 kg/m3
ΔE_f (raw) = -2.660 eV per atom

The structure in CIF format:
```
data_LiCa2PuO4
_symmetry_space_group_name_H-M 'P 1 2/m 1'
_symmetry_Int_Tables_number 10
_cell_length_a 5.7276
_cell_length_b 3.4628
_cell_length_c 5.8267
_cell_angle_alpha 90.00
_cell_angle_beta 107.56
_cell_angle_gamma 90.00
loop_
_symmetry_equiv_pos_as_xyz
'x,y,z'
'-x,-y,-z'
'-x,y,-z'
'x,-y,z'
loop_
_atom_site_label
_atom_site_type_symbol
_atom_site_fract_x
_atom_site_fract_y
_atom_site_fract_z
Li1 Li 0.0000 0.0000 0.0000
Ca1 Ca 0.0000 0.5000 0.5000
Ca2 Ca 0.5000 0.0000 0.5000
Pu1 Pu 0.5000 0.5000 0.0000
O1 O 0.2510 0.0000 0.7583
O2 O 0.2658 0.5000 0.2549
```

The following is a GGA-PBE calculation of a geometry-optimized ZrScCl2 structure, from Alexandria via LeMat-Bulk.

Summary:
total moment = 0.00 μB per formula unit
mass density = 4146 kg/m3
ΔE_f (raw) = -0.564 eV per atom

The structure in CIF format:
```
data_ZrScCl2
_symmetry_space_group_name_H-M 'I -4 m 2'
_symmetry_Int_Tables_number 119
_symmetry_space_group_name_Hall 'I -4 -2'
_cell_length_a 3.6605
_cell_length_b 3.6605
_cell_length_c 12.3794
_cell_angle_alpha 90.00
_cell_angle_beta 90.00
_cell_angle_gamma 90.00
loop_
_atom_site_label
_atom_site_type_symbol
_atom_site_fract_x
_atom_site_fract_y
_atom_site_fract_z
Zr1 Zr 0.0000 0.0000 0.0000
Sc1 Sc 0.0000 0.5000 0.2500
Cl1 Cl 0.0000 0.0000 0.5000
Cl2 Cl 0.0000 0.5000 0.7500
```

The following is a GGA-PBE calculation of a geometry-optimized LiBeHg4 structure, from Alexandria via LeMat-Bulk.

Summary:
electronic total energy = -16.641 eV per cell
total moment = 0.00 μB per formula unit
mass density = 9284 kg/m3

The structure in CIF format:
```
data_LiBeHg4
_symmetry_space_group_name_H-M 'F -4 3 m'
_symmetry_Int_Tables_number 216
_symmetry_space_group_name_Hall 'F -4 2 3'
_cell_length_a 8.3657
_cell_length_b 8.3657
_cell_length_c 8.3657
_cell_angle_alpha 90.00
_cell_angle_beta 90.00
_cell_angle_gamma 90.00
loop_
_atom_site_label
_atom_site_type_symbol
_atom_site_fract_x
_atom_site_fract_y
_atom_site_fract_z
Li1 Li 0.0000 0.0000 0.0000
Be1 Be 0.2500 0.2500 0.7500
Hg1 Hg 0.1250 0.1250 0.3750
```

The following is a GGA-PBE calculation of a geometry-optimized YVTeN2 structure, from Alexandria via LeMat-Bulk.

Summary:
total moment = 0.06 μB per formula unit
mass density = 4424 kg/m3
ΔE_f (raw) = 1.192 eV per atom

The structure in CIF format:
```
data_YVTeN2
_symmetry_space_group_name_H-M 'P 4/m m m'
_symmetry_Int_Tables_number 123
_symmetry_space_group_name_Hall '-P 4 2'
_cell_length_a 4.2350
_cell_length_b 4.2350
_cell_length_c 6.1831
_cell_angle_alpha 90.00
_cell_angle_beta 90.00
_cell_angle_gamma 90.00
loop_
_atom_site_label
_atom_site_type_symbol
_atom_site_fract_x
_atom_site_fract_y
_atom_site_fract_z
Y1 Y 0.0000 0.0000 0.0000
V1 V 0.5000 0.5000 0.5000
Te1 Te 0.0000 0.0000 0.5000
N1 N 0.0000 0.5000 0.0000
```

The following is a GGA-PBE calculation of a geometry-optimized AcCeAs2 structure, from Alexandria via LeMat-Bulk.

Summary:
electronic total energy = -23.800 eV per cell
total moment = 0.68 μB per formula unit
mass density = 8204 kg/m3

The structure in CIF format:
```
data_AcCeAs2
_symmetry_space_group_name_H-M 'P 4/m m m'
_symmetry_Int_Tables_number 123
_symmetry_space_group_name_Hall '-P 4 2'
_cell_length_a 3.7390
_cell_length_b 3.7390
_cell_length_c 7.4849
_cell_angle_alpha 90.00
_cell_angle_beta 90.00
_cell_angle_gamma 90.00
loop_
_atom_site_label
_atom_site_type_symbol
_atom_site_fract_x
_atom_site_fract_y
_atom_site_fract_z
Ac1 Ac 0.0000 0.0000 0.0000
Ce1 Ce 0.0000 0.0000 0.5000
As1 As 0.5000 0.5000 0.2673
```

The following is a GGA-PBE calculation of a geometry-optimized NaTl2S3 structure, from Alexandria via LeMat-Bulk.

Summary:
total moment = 0.00 μB per formula unit
mass density = 5643 kg/m3
ΔE_f (raw) = -0.357 eV per atom

The structure in CIF format:
```
data_NaTl2S3
_symmetry_space_group_name_H-M 'C 1 2/c 1'
_symmetry_Int_Tables_number 15
_cell_length_a 11.4830
_cell_length_b 5.9288
_cell_length_c 10.1647
_cell_angle_alpha 90.00
_cell_angle_beta 116.10
_cell_angle_gamma 90.00
loop_
_symmetry_equiv_pos_as_xyz
'x,y,z'
'-x,-y,-z'
'-x,y,-z+1/2'
'x,-y,z+1/2'
'x+1/2,y+1/2,z'
'-x+1/2,-y+1/2,-z'
'-x+1/2,y+1/2,-z+1/2'
'x+1/2,-y+1/2,z+1/2'
loop_
_atom_site_label
_atom_site_type_symbol
_atom_site_fract_x
_atom_site_fract_y
_atom_site_fract_z
Na1 Na 0.0000 0.0012 0.2500
Tl1 Tl 0.1661 0.4998 0.0858
S1 S 0.0000 0.5004 0.2500
S2 S 0.0999 0.9999 0.0494
```

The following is a GGA-PBE calculation of a geometry-optimized BeMoPCl2 structure, from Alexandria via LeMat-Bulk.

Summary:
total moment = 0.70 μB per formula unit
mass density = 3090 kg/m3
ΔE_f (raw) = 0.553 eV per atom

The structure in CIF format:
```
data_BeMoPCl2
_symmetry_space_group_name_H-M 'P 4/m m m'
_symmetry_Int_Tables_number 123
_symmetry_space_group_name_Hall '-P 4 2'
_cell_length_a 4.8321
_cell_length_b 4.8321
_cell_length_c 4.7598
_cell_angle_alpha 90.00
_cell_angle_beta 90.00
_cell_angle_gamma 90.00
loop_
_atom_site_label
_atom_site_type_symbol
_atom_site_fract_x
_atom_site_fract_y
_atom_site_fract_z
Be1 Be 0.0000 0.0000 0.0000
Mo1 Mo 0.5000 0.5000 0.5000
P1 P 0.5000 0.5000 0.0000
Cl1 Cl 0.0000 0.5000 0.5000
```

The following is a GGA-PBE calculation of a geometry-optimized In2ReRh structure, from Alexandria via LeMat-Bulk.

Summary:
electronic total energy = -92.439 eV per cell
total moment = 1.07 μB per formula unit
mass density = 12134 kg/m3

The structure in CIF format:
```
data_In2ReRh
_symmetry_space_group_name_H-M 'F -4 3 m'
_symmetry_Int_Tables_number 216
_symmetry_space_group_name_Hall 'F -4 2 3'
_cell_length_a 6.5728
_cell_length_b 6.5728
_cell_length_c 6.5728
_cell_angle_alpha 90.00
_cell_angle_beta 90.00
_cell_angle_gamma 90.00
loop_
_atom_site_label
_atom_site_type_symbol
_atom_site_fract_x
_atom_site_fract_y
_atom_site_fract_z
In1 In 0.0000 0.0000 0.0000
In2 In 0.2500 0.2500 0.2500
Re1 Re 0.0000 0.0000 0.5000
Rh1 Rh 0.2500 0.2500 0.7500
```

The following is a GGA-PBE calculation of a geometry-optimized Y2ZnAgH structure, from Alexandria via LeMat-Bulk.

Summary:
electronic total energy = -21.886 eV per cell
total moment = 0.54 μB per formula unit
mass density = 6162 kg/m3

The structure in CIF format:
```
data_Y2ZnAgH
_symmetry_space_group_name_H-M 'P 4/m m m'
_symmetry_Int_Tables_number 123
_symmetry_space_group_name_Hall '-P 4 2'
_cell_length_a 4.9426
_cell_length_b 4.9426
_cell_length_c 3.8841
_cell_angle_alpha 90.00
_cell_angle_beta 90.00
_cell_angle_gamma 90.00
loop_
_atom_site_label
_atom_site_type_symbol
_atom_site_fract_x
_atom_site_fract_y
_atom_site_fract_z
Y1 Y 0.0000 0.5000 0.0000
Zn1 Zn 0.0000 0.0000 0.5000
Ag1 Ag 0.5000 0.5000 0.5000
H1 H 0.0000 0.0000 0.0000
```

The following is a GGA-PBE calculation of a geometry-optimized LaZnPt3 structure, from Alexandria via LeMat-Bulk.

Summary:
electronic total energy = -53.325 eV per cell
total moment = 0.00 μB per formula unit
mass density = 12295 kg/m3

The structure in CIF format:
```
data_LaZnPt3
_symmetry_space_group_name_H-M 'P b a m'
_symmetry_Int_Tables_number 55
_cell_length_a 5.7555
_cell_length_b 7.7761
_cell_length_c 4.7654
_cell_angle_alpha 90.00
_cell_angle_beta 90.00
_cell_angle_gamma 90.00
loop_
_symmetry_equiv_pos_as_xyz
'x,y,z'
'-x,-y,-z'
'-x,-y,z'
'x,y,-z'
'x+1/2,-y+1/2,-z'
'-x+1/2,y+1/2,z'
'-x+1/2,y+1/2,-z'
'x+1/2,-y+1/2,z'
loop_
_atom_site_label
_atom_site_type_symbol
_atom_site_fract_x
_atom_site_fract_y
_atom_site_fract_z
La1 La 0.0000 0.0000 0.0000
Zn1 Zn 0.0000 0.5000 0.5000
Pt1 Pt 0.0000 0.5000 0.0000
Pt2 Pt 0.2354 0.2421 0.5000
```

The following is a GGA-PBE calculation of a geometry-optimized Si2AsOs structure, from Alexandria via LeMat-Bulk.

Summary:
total moment = 0.00 μB per formula unit
mass density = 6419 kg/m3
ΔE_f (raw) = 0.259 eV per atom

The structure in CIF format:
```
data_Si2AsOs
_symmetry_space_group_name_H-M 'I -4 2 d'
_symmetry_Int_Tables_number 122
_symmetry_space_group_name_Hall 'I -4 2bw'
_cell_length_a 5.5666
_cell_length_b 5.5666
_cell_length_c 10.7297
_cell_angle_alpha 90.00
_cell_angle_beta 90.00
_cell_angle_gamma 90.00
loop_
_atom_site_label
_atom_site_type_symbol
_atom_site_fract_x
_atom_site_fract_y
_atom_site_fract_z
Si1 Si 0.2290 0.2500 0.1250
As1 As 0.0000 0.0000 0.5000
Os1 Os 0.0000 0.0000 0.0000
```